# 1
This record from Alexandria via LeMat-Bulk describes a geometry-optimized Na2MgH10S2O13 structure. The functional is PBE-GGA.

Output
The calculation puts the energy at -0.198 hartree per atom.

Lattice parameters (Å, degrees): 5.8364 24.2392 8.1354 90.00 96.02 90.00
Sites, in units of the cell vectors:
Na 0.1768 0.0550 0.3432
Na 0.1768 0.4450 0.8432
Na 0.2160 0.5508 0.5583
Na 0.2160 0.9492 0.0583
Na 0.7840 0.0508 0.9417
Na 0.7840 0.4492 0.4417
Na 0.8232 0.5550 0.1568
Na 0.8232 0.9450 0.6568
Mg 0.4519 0.1404 0.6770
Mg 0.4519 0.3596 0.1770
Mg 0.5481 0.6404 0.8230
Mg 0.5481 0.8596 0.3230
H 0.0586 0.1764 0.5204
H 0.0586 0.3236 0.0204
H 0.0916 0.6284 0.8130
H 0.0916 0.8716 0.3130
H 0.1378 0.2202 0.6632
H 0.1378 0.2798 0.1632
H 0.2132 0.5756 0.9012
H 0.2132 0.9244 0.4012
H 0.2981 0.7154 0.6371
H 0.2981 0.7846 0.1371
H 0.3045 0.1225 0.9847
H 0.3045 0.3775 0.4847
H 0.3308 0.7451 0.8135
H 0.3308 0.7549 0.3135
H 0.3685 0.6497 0.1172
H 0.3685 0.8503 0.6172
H 0.3862 0.1784 0.3469
H 0.3862 0.3216 0.8469
H 0.4545 0.6533 0.4944
H 0.4545 0.8467 0.9944
H 0.5455 0.1533 0.0056
H 0.5455 0.3467 0.5056
H 0.6138 0.6784 0.1531
H 0.6138 0.8216 0.6531
H 0.6315 0.1497 0.3828
H 0.6315 0.3503 0.8828
H 0.6692 0.2451 0.6865
H 0.6692 0.2549 0.1865
H 0.6955 0.6225 0.5153
H 0.6955 0.8775 0.0153
H 0.7019 0.2154 0.8629
H 0.7019 0.2846 0.3629
H 0.7868 0.0756 0.5988
H 0.7868 0.4244 0.0988
H 0.8622 0.7202 0.8368
H 0.8622 0.7798 0.3368
H 0.9084 0.1284 0.6870
H 0.9084 0.3716 0.1870
H 0.9414 0.6764 0.9796
H 0.9414 0.8236 0.4796
S 0.0204 0.6709 0.3269
S 0.0204 0.8291 0.8269
S 0.2893 0.0079 0.7007
S 0.2893 0.4921 0.2007
S 0.7107 0.5079 0.7993
S 0.7107 0.9921 0.2993
S 0.9796 0.1709 0.1731
S 0.9796 0.3291 0.6731
O 0.0438 0.1212 0.0806
O 0.0438 0.3788 0.5806
O 0.0822 0.6531 0.1607
O 0.0822 0.8469 0.6607
O 0.1154 0.0038 0.8227
O 0.1154 0.4962 0.3227
O 0.1315 0.1799 0.6366
O 0.1315 0.3201 0.1366
O 0.1752 0.2105 0.1955
O 0.1752 0.2895 0.6955
O 0.2169 0.5291 0.0590
O 0.2169 0.9709 0.5590
O 0.2243 0.6032 0.8118
O 0.2243 0.8968 0.3118
O 0.2268 0.6987 0.4184
O 0.2268 0.8013 0.9184
O 0.2919 0.0658 0.6342
O 0.2919 0.4342 0.1342
O 0.3834 0.7139 0.7481
O 0.3834 0.7861 0.2481
O 0.4528 0.1262 0.9358
O 0.4528 0.3738 0.4358
O 0.4752 0.1518 0.4206
O 0.4752 0.3482 0.9206
O 0.4795 0.0077 0.2193
O 0.4795 0.4923 0.7193
O 0.5205 0.5077 0.2807
O 0.5205 0.9923 0.7807
O 0.5248 0.6518 0.0794
O 0.5248 0.8482 0.5794
O 0.5472 0.6262 0.5642
O 0.5472 0.8738 0.0642
O 0.6166 0.2139 0.7519
O 0.6166 0.2861 0.2519
O 0.7081 0.5658 0.8658
O 0.7081 0.9342 0.3658
O 0.7732 0.1987 0.0816
O 0.7732 0.3013 0.5816
O 0.7757 0.1032 0.6882
O 0.7757 0.3968 0.1882
O 0.7831 0.0291 0.4410
O 0.7831 0.4709 0.9410
O 0.8248 0.7105 0.3045
O 0.8248 0.7895 0.8045
O 0.8685 0.6799 0.8634
O 0.8685 0.8201 0.3634
O 0.8846 0.5038 0.6773
O 0.8846 0.9962 0.1773
O 0.9178 0.1531 0.3393
O 0.9178 0.3469 0.8393
O 0.9562 0.6212 0.4194
O 0.9562 0.8788 0.9194



# 2
This record from Alexandria via LeMat-Bulk describes a geometry-optimized Cr2AsSe structure. The functional is PBE-GGA.

Output
As for the polymorph energy (0 for the lowest one): 433.2 meV per atom.

Lattice parameters (Å, degrees): 5.7079 5.7079 5.7079 141.96 141.96 54.89
Sites, in units of the cell vectors:
Cr 0.0000 0.0000 0.0000
Cr 0.7500 0.2500 0.5000
As 0.5000 0.5000 0.0000
Se 0.2500 0.7500 0.5000



# 3
This record from Alexandria via LeMat-Bulk describes a geometry-optimized PuClF2 structure. The functional is PBE-GGA.

Output
As for the polymorph energy (0 for the lowest one): 0.0 meV per atom.

Lattice parameters (Å, degrees): 5.4349 5.4349 7.1779 90.00 90.00 137.43
Sites, in units of the cell vectors:
Pu 0.2266 0.7734 0.7500
Pu 0.7734 0.2266 0.2500
Cl 0.0506 0.9494 0.2500
Cl 0.9494 0.0506 0.7500
F 0.3191 0.6809 0.0666
F 0.3191 0.6809 0.4334
F 0.6809 0.3191 0.5666
F 0.6809 0.3191 0.9334



# 4
This record from Alexandria via LeMat-Bulk describes a geometry-optimized Tm2ScSi2 structure. The functional is PBE-GGA.

Output
The calculation puts the energy at -0.217 hartree per atom.

Lattice parameters (Å, degrees): 5.6594 5.6594 5.6594 136.64 116.71 79.83
Sites, in units of the cell vectors:
Tm 0.2014 0.2014 0.0000
Tm 0.7986 0.7986 0.0000
Sc 0.5000 0.0000 0.5000
Si 0.2079 0.5000 0.7079
Si 0.7921 0.5000 0.2921



# 5
This record from Alexandria via LeMat-Bulk describes a geometry-optimized BaTm3Os structure. The functional is PBE-GGA.

Output
Its energy relative to the elements is -0.085 eV per atom.

Lattice parameters (Å, degrees): 5.4831 5.4831 5.4831 90.00 90.00 90.00
Sites, in units of the cell vectors:
Ba 0.0000 0.0000 0.0000
Tm 0.0000 0.5000 0.5000
Tm 0.5000 0.0000 0.5000
Tm 0.5000 0.5000 0.0000
Os 0.5000 0.5000 0.5000



# 6
This record from Alexandria via LeMat-Bulk describes a geometry-optimized TmLuOsPd structure. The functional is PBE-GGA.

Output
Its energy relative to the elements is -0.643 eV per atom.

Lattice parameters (Å, degrees): 4.7901 4.7901 4.7901 60.00 60.00 60.00
Sites, in units of the cell vectors:
Tm 0.0000 0.0000 0.0000
Lu 0.5000 0.5000 0.5000
Os 0.2500 0.2500 0.2500
Pd 0.7500 0.7500 0.7500



# 7
This record from Alexandria via LeMat-Bulk describes a geometry-optimized LiCe2SnS4 structure. The functional is PBE-GGA.

Output
The calculation puts the energy at -0.209 hartree per atom.

Lattice parameters (Å, degrees): 7.0078 4.0593 7.0787 90.00 109.01 90.00
Sites, in units of the cell vectors:
Li 0.0000 0.0000 0.0000
Ce 0.0000 0.5000 0.5000
Ce 0.5000 0.0000 0.5000
Sn 0.5000 0.5000 0.0000
S 0.2415 0.0000 0.7469
S 0.2459 0.5000 0.2511
S 0.7541 0.5000 0.7489
S 0.7585 0.0000 0.2531



# 8
This record from Alexandria via LeMat-Bulk describes a geometry-optimized K2ReNi structure. The functional is PBE-GGA.

Output
Its energy relative to the elements is 1.400 eV per atom. As for the polymorph energy (0 for the lowest one): 635.2 meV per atom.

Lattice parameters (Å, degrees): 6.2387 6.2387 2.6865 90.00 90.00 128.13
Sites, in units of the cell vectors:
K 0.0000 0.5000 0.0000
K 0.5000 0.0000 0.0000
Re 0.0000 0.0000 0.5000
Ni 0.5000 0.5000 0.5000



# 9
This record from Alexandria via LeMat-Bulk describes a geometry-optimized Pm3Be2Ir3 structure. The functional is PBE-GGA.

Output
Its energy relative to the elements is -0.543 eV per atom.

Lattice parameters (Å, degrees): 5.8184 5.8184 14.6852 90.00 90.00 139.58
Sites, in units of the cell vectors:
Pm 0.0796 0.9204 0.7500
Pm 0.3603 0.6397 0.5988
Pm 0.3603 0.6397 0.9012
Pm 0.6397 0.3603 0.0988
Pm 0.6397 0.3603 0.4012
Pm 0.9204 0.0796 0.2500
Be 0.3423 0.6577 0.1130
Be 0.3423 0.6577 0.3870
Be 0.6577 0.3423 0.6130
Be 0.6577 0.3423 0.8870
Ir 0.0919 0.9081 0.5551
Ir 0.0919 0.9081 0.9449
Ir 0.2239 0.7761 0.2500
Ir 0.7761 0.2239 0.7500
Ir 0.9081 0.0919 0.0551
Ir 0.9081 0.0919 0.4449



# 10
This record from Alexandria via LeMat-Bulk describes a geometry-optimized RbTe2WI structure. The functional is PBE-GGA.

Output
As for the polymorph energy (0 for the lowest one): 0.0 meV per atom.

Lattice parameters (Å, degrees): 5.3174 5.3174 6.1660 90.00 90.00 90.00
Sites, in units of the cell vectors:
Rb 0.0000 0.0000 0.0000
Te 0.0000 0.5000 0.5000
Te 0.5000 0.0000 0.5000
W 0.5000 0.5000 0.5000
I 0.5000 0.5000 0.0000



| no. | magnetic moment (μB per formula unit) |
| --- | --- |
| 1 | 0.1 |
| 2 | 7.3 |
| 3 | 5.0 |
| 4 | 0.0 |
| 5 | 0.0 |
| 6 | 0.0 |
| 7 | 2.9 |
| 8 | 0.0 |
| 9 | 0.0 |
| 10 | 0.5 |